# PBE KBaW3, optimized geometry
# Density of states at the Fermi level (states/eV per atom): 1.42
# ΔH_f (0 K) (eV per atom): 3.602
# ΔE to the lowest computed polymorph (kJ/mol of formula units): 0
# Uncorrected energy (eV/cell): -23.9
# Total moment (μB per formula unit): 0.000
data_KBaW3
_chemical_formula_sum 'K1 Ba1 W3'
_cell_length_a 4.929
_cell_length_b 4.929
_cell_length_c 4.929
_cell_angle_alpha 90.00
_cell_angle_beta 90.00
_cell_angle_gamma 90.00
_space_group_name_H-M_alt 'P m -3 m'
_space_group_IT_number 221
_space_group_name_Hall '-P 4 2 3'
loop_
_atom_site_label
_atom_site_type_symbol
_atom_site_fract_x
_atom_site_fract_y
_atom_site_fract_z
_atom_site_occupancy
K1 K 0.000 0.000 0.000 1
Ba1 Ba 0.500 0.500 0.500 1
W1 W 0.000 0.000 0.500 1